(a)
Compound: Ho2Mg3Hg4
Source: Alexandria
Functional: GGA-PBE
Structure: relaxed

The calculated volume is 23.5 Å³/atom. As for the density of states at the Fermi level: 12.1 states/eV/cell.

The structure in CIF format:
```
data_Ho2Mg3Hg4
_symmetry_space_group_name_H-M 'P 1'
_symmetry_Int_Tables_number 1
_symmetry_space_group_name_Hall 'P 1'
_cell_length_a 8.9683
_cell_length_b 8.9683
_cell_length_c 8.0247
_cell_angle_alpha 90.00
_cell_angle_beta 90.00
_cell_angle_gamma 138.98
loop_
_atom_site_label
_atom_site_type_symbol
_atom_site_fract_x
_atom_site_fract_y
_atom_site_fract_z
Ho1 Ho 0.1004 0.8996 0.9080
Ho2 Ho 0.3996 0.6004 0.4080
Ho3 Ho 0.6004 0.3996 0.5920
Ho4 Ho 0.8996 0.1004 0.0920
Mg1 Mg 0.0000 0.0000 0.5000
Mg2 Mg 0.0203 0.4797 0.7500
Mg3 Mg 0.4797 0.0203 0.2500
Mg4 Mg 0.5000 0.5000 0.0000
Mg5 Mg 0.5203 0.9797 0.7500
Mg6 Mg 0.9797 0.5203 0.2500
Hg1 Hg 0.1699 0.8301 0.5394
Hg2 Hg 0.1915 0.3085 0.7500
Hg3 Hg 0.3085 0.1915 0.2500
Hg4 Hg 0.3301 0.6699 0.0394
Hg5 Hg 0.6699 0.3301 0.9606
Hg6 Hg 0.6915 0.8085 0.7500
Hg7 Hg 0.8085 0.6915 0.2500
Hg8 Hg 0.8301 0.1699 0.4606
```

=====

(b)
Compound: Ho2Mg3Hg4
Source: Alexandria
Functional: GGA-PBE
Structure: relaxed

The calculated volume is 23.3 Å³/atom. As for the density of states at the Fermi level: 4.3 states/eV/cell.

The structure in CIF format:
```
data_Ho2Mg3Hg4
_symmetry_space_group_name_H-M 'P 1'
_symmetry_Int_Tables_number 1
_symmetry_space_group_name_Hall 'P 1'
_cell_length_a 5.0147
_cell_length_b 5.0147
_cell_length_c 9.6285
_cell_angle_alpha 90.30
_cell_angle_beta 90.30
_cell_angle_gamma 59.87
loop_
_atom_site_label
_atom_site_type_symbol
_atom_site_fract_x
_atom_site_fract_y
_atom_site_fract_z
Ho1 Ho 0.1673 0.1673 0.2134
Ho2 Ho 0.8327 0.8327 0.7866
Mg1 Mg 0.1659 0.1659 0.5721
Mg2 Mg 0.5000 0.5000 0.0000
Mg3 Mg 0.8341 0.8341 0.4279
Hg1 Hg 0.1664 0.1664 0.8953
Hg2 Hg 0.4985 0.4985 0.6588
Hg3 Hg 0.5015 0.5015 0.3412
Hg4 Hg 0.8336 0.8336 0.1047
```

=====

Relative energies with respect to the most stable structure, expressed in meV/atom: (a) 55; (b) 0.

=====

(a)
Compound: Ho4Mg3Hg
Source: Alexandria
Functional: GGA-PBE
Structure: relaxed

The calculated volume is 26.8 Å³/atom. As for the density of states at the Fermi level: 8.2 states/eV/cell.

The structure in CIF format:
```
data_Ho4Mg3Hg
_symmetry_space_group_name_H-M 'P 1'
_symmetry_Int_Tables_number 1
_symmetry_space_group_name_Hall 'P 1'
_cell_length_a 3.4246
_cell_length_b 5.0120
_cell_length_c 12.4745
_cell_angle_alpha 90.00
_cell_angle_beta 90.00
_cell_angle_gamma 90.00
loop_
_atom_site_label
_atom_site_type_symbol
_atom_site_fract_x
_atom_site_fract_y
_atom_site_fract_z
Ho1 Ho 0.0000 0.0000 0.0000
Ho2 Ho 0.0000 0.5000 0.3315
Ho3 Ho 0.5000 0.0000 0.4908
Ho4 Ho 0.5000 0.5000 0.8405
Mg1 Mg 0.0000 0.0000 0.7313
Mg2 Mg 0.0000 0.5000 0.5985
Mg3 Mg 0.5000 0.5000 0.1021
Hg1 Hg 0.5000 0.0000 0.2344
```

=====

(b)
Compound: Ho4Mg3Hg
Source: Alexandria
Functional: GGA-PBE
Structure: relaxed

The calculated volume is 26.5 Å³/atom. As for the density of states at the Fermi level: 9.4 states/eV/cell.

The structure in CIF format:
```
data_Ho4Mg3Hg
_symmetry_space_group_name_H-M 'P 1'
_symmetry_Int_Tables_number 1
_symmetry_space_group_name_Hall 'P 1'
_cell_length_a 3.7745
_cell_length_b 3.7745
_cell_length_c 14.8737
_cell_angle_alpha 90.00
_cell_angle_beta 90.00
_cell_angle_gamma 90.00
loop_
_atom_site_label
_atom_site_type_symbol
_atom_site_fract_x
_atom_site_fract_y
_atom_site_fract_z
Ho1 Ho 0.0000 0.0000 0.1209
Ho2 Ho 0.0000 0.0000 0.3727
Ho3 Ho 0.0000 0.0000 0.6273
Ho4 Ho 0.0000 0.0000 0.8791
Mg1 Mg 0.5000 0.5000 0.2493
Mg2 Mg 0.5000 0.5000 0.5000
Mg3 Mg 0.5000 0.5000 0.7507
Hg1 Hg 0.5000 0.5000 0.0000
```

=====

Relative energies with respect to the most stable structure, expressed in meV/atom: (a) 55; (b) 0.

=====

(a)
Compound: HoMg3Hg2
Source: Alexandria
Functional: GGA-PBE
Structure: relaxed

The calculated volume is 23.6 Å³/atom. As for the density of states at the Fermi level: 7.3 states/eV/cell.

The structure in CIF format:
```
data_HoMg3Hg2
_symmetry_space_group_name_H-M 'P 1'
_symmetry_Int_Tables_number 1
_symmetry_space_group_name_Hall 'P 1'
_cell_length_a 8.6089
_cell_length_b 8.6089
_cell_length_c 8.0203
_cell_angle_alpha 111.90
_cell_angle_beta 111.90
_cell_angle_gamma 31.11
loop_
_atom_site_label
_atom_site_type_symbol
_atom_site_fract_x
_atom_site_fract_y
_atom_site_fract_z
Ho1 Ho 0.1164 0.1164 0.1621
Ho2 Ho 0.8836 0.8836 0.8379
Mg1 Mg 0.0629 0.0629 0.6962
Mg2 Mg 0.3083 0.3083 0.0948
Mg3 Mg 0.3527 0.3527 0.5024
Mg4 Mg 0.6473 0.6473 0.4976
Mg5 Mg 0.6917 0.6917 0.9052
Mg6 Mg 0.9371 0.9371 0.3038
Hg1 Hg 0.2387 0.2387 0.7065
Hg2 Hg 0.4905 0.4905 0.1766
Hg3 Hg 0.5095 0.5095 0.8234
Hg4 Hg 0.7613 0.7613 0.2935
```

=====

(b)
Compound: HoMg3Hg2
Source: Alexandria
Functional: GGA-PBE
Structure: relaxed

The calculated volume is 23.5 Å³/atom. As for the density of states at the Fermi level: 6.8 states/eV/cell.

The structure in CIF format:
```
data_HoMg3Hg2
_symmetry_space_group_name_H-M 'P 1'
_symmetry_Int_Tables_number 1
_symmetry_space_group_name_Hall 'P 1'
_cell_length_a 4.2624
_cell_length_b 8.7181
_cell_length_c 7.5986
_cell_angle_alpha 90.00
_cell_angle_beta 90.00
_cell_angle_gamma 90.00
loop_
_atom_site_label
_atom_site_type_symbol
_atom_site_fract_x
_atom_site_fract_y
_atom_site_fract_z
Ho1 Ho 0.0000 0.0790 0.0000
Ho2 Ho 0.0000 0.9210 0.5000
Mg1 Mg 0.0000 0.3129 0.6071
Mg2 Mg 0.0000 0.6871 0.1071
Mg3 Mg 0.5000 0.1933 0.3316
Mg4 Mg 0.5000 0.4125 0.9344
Mg5 Mg 0.5000 0.5875 0.4344
Mg6 Mg 0.5000 0.8067 0.8316
Hg1 Hg 0.0000 0.3872 0.2281
Hg2 Hg 0.0000 0.6128 0.7281
Hg3 Hg 0.5000 0.1207 0.7112
Hg4 Hg 0.5000 0.8793 0.2112
```

=====

Relative energies with respect to the most stable structure, expressed in meV/atom: (a) 42; (b) 0.

=====

(a)
Compound: NdHoMgHg
Source: Alexandria
Functional: GGA-PBE
Structure: relaxed

The calculated volume is 27.3 Å³/atom. As for the density of states at the Fermi level: 5.0 states/eV/cell.

The structure in CIF format:
```
data_NdHoMgHg
_symmetry_space_group_name_H-M 'P 1'
_symmetry_Int_Tables_number 1
_symmetry_space_group_name_Hall 'P 1'
_cell_length_a 5.3674
_cell_length_b 5.3674
_cell_length_c 5.3674
_cell_angle_alpha 60.00
_cell_angle_beta 60.00
_cell_angle_gamma 60.00
loop_
_atom_site_label
_atom_site_type_symbol
_atom_site_fract_x
_atom_site_fract_y
_atom_site_fract_z
Nd1 Nd 0.0000 0.0000 0.0000
Ho1 Ho 0.5000 0.5000 0.5000
Mg1 Mg 0.2500 0.2500 0.2500
Hg1 Hg 0.7500 0.7500 0.7500
```

=====

(b)
Compound: NdHoMgHg
Source: Alexandria
Functional: GGA-PBE
Structure: relaxed

The calculated volume is 27.3 Å³/atom. As for the density of states at the Fermi level: 4.6 states/eV/cell.

The structure in CIF format:
```
data_NdHoMgHg
_symmetry_space_group_name_H-M 'P 1'
_symmetry_Int_Tables_number 1
_symmetry_space_group_name_Hall 'P 1'
_cell_length_a 3.7880
_cell_length_b 3.7880
_cell_length_c 7.6151
_cell_angle_alpha 90.00
_cell_angle_beta 90.00
_cell_angle_gamma 90.00
loop_
_atom_site_label
_atom_site_type_symbol
_atom_site_fract_x
_atom_site_fract_y
_atom_site_fract_z
Nd1 Nd 0.0000 0.0000 0.0000
Ho1 Ho 0.0000 0.0000 0.4939
Mg1 Mg 0.5000 0.5000 0.7360
Hg1 Hg 0.5000 0.5000 0.2708
```

=====

Relative energies with respect to the most stable structure, expressed in meV/atom: (a) 22; (b) 0.

=====

(a)
Compound: PrHoMgHg
Source: Alexandria
Functional: GGA-PBE
Structure: relaxed

The calculated volume is 27.6 Å³/atom. As for the density of states at the Fermi level: 5.0 states/eV/cell.

The structure in CIF format:
```
data_PrHoMgHg
_symmetry_space_group_name_H-M 'P 1'
_symmetry_Int_Tables_number 1
_symmetry_space_group_name_Hall 'P 1'
_cell_length_a 5.3867
_cell_length_b 5.3867
_cell_length_c 5.3867
_cell_angle_alpha 60.00
_cell_angle_beta 60.00
_cell_angle_gamma 60.00
loop_
_atom_site_label
_atom_site_type_symbol
_atom_site_fract_x
_atom_site_fract_y
_atom_site_fract_z
Pr1 Pr 0.0000 0.0000 0.0000
Ho1 Ho 0.5000 0.5000 0.5000
Mg1 Mg 0.7500 0.7500 0.7500
Hg1 Hg 0.2500 0.2500 0.2500
```

=====

(b)
Compound: PrHoMgHg
Source: Alexandria
Functional: GGA-PBE
Structure: relaxed

The calculated volume is 27.6 Å³/atom. As for the density of states at the Fermi level: 4.4 states/eV/cell.

The structure in CIF format:
```
data_PrHoMgHg
_symmetry_space_group_name_H-M 'P 1'
_symmetry_Int_Tables_number 1
_symmetry_space_group_name_Hall 'P 1'
_cell_length_a 3.7883
_cell_length_b 3.7883
_cell_length_c 7.6985
_cell_angle_alpha 90.00
_cell_angle_beta 90.00
_cell_angle_gamma 90.00
loop_
_atom_site_label
_atom_site_type_symbol
_atom_site_fract_x
_atom_site_fract_y
_atom_site_fract_z
Pr1 Pr 0.0000 0.0000 0.0000
Ho1 Ho 0.0000 0.0000 0.4932
Mg1 Mg 0.5000 0.5000 0.7336
Hg1 Hg 0.5000 0.5000 0.2751
```

=====

Relative energies with respect to the most stable structure, expressed in meV/atom: (a) 25; (b) 0.

=====

(a)
Compound: HoMgSnHg
Source: Alexandria
Functional: GGA-PBE
Structure: relaxed

The calculated volume is 23.9 Å³/atom. As for the density of states at the Fermi level: 1.2 states/eV/cell.

The structure in CIF format:
```
data_HoMgSnHg
_symmetry_space_group_name_H-M 'P 1'
_symmetry_Int_Tables_number 1
_symmetry_space_group_name_Hall 'P 1'
_cell_length_a 4.2419
_cell_length_b 4.6140
_cell_length_c 4.8879
_cell_angle_alpha 90.00
_cell_angle_beta 90.00
_cell_angle_gamma 90.00
loop_
_atom_site_label
_atom_site_type_symbol
_atom_site_fract_x
_atom_site_fract_y
_atom_site_fract_z
Ho1 Ho 0.0000 0.0000 0.0000
Mg1 Mg 0.0000 0.5000 0.5000
Sn1 Sn 0.5000 0.5000 0.0000
Hg1 Hg 0.5000 0.0000 0.5000
```

=====

(b)
Compound: HoMgSnHg
Source: Alexandria
Functional: GGA-PBE
Structure: relaxed

The calculated volume is 24.3 Å³/atom. As for the density of states at the Fermi level: 2.5 states/eV/cell.

The structure in CIF format:
```
data_HoMgSnHg
_symmetry_space_group_name_H-M 'P 1'
_symmetry_Int_Tables_number 1
_symmetry_space_group_name_Hall 'P 1'
_cell_length_a 5.1596
_cell_length_b 5.1596
_cell_length_c 5.1596
_cell_angle_alpha 60.00
_cell_angle_beta 60.00
_cell_angle_gamma 60.00
loop_
_atom_site_label
_atom_site_type_symbol
_atom_site_fract_x
_atom_site_fract_y
_atom_site_fract_z
Ho1 Ho 0.0000 0.0000 0.0000
Mg1 Mg 0.5000 0.5000 0.5000
Sn1 Sn 0.2500 0.2500 0.2500
Hg1 Hg 0.7500 0.7500 0.7500
```

=====

Relative energies with respect to the most stable structure, expressed in meV/atom: (a) 0; (b) 88.